Entry 1:
An optimized crystal structure of SrRe2Pt, computed with PBE.

```
data_SrRe2Pt
_chemical_formula_sum 'Sr1 Re2 Pt1'
_symmetry_space_group_name_H-M 'P m m m'
_symmetry_Int_Tables_number 47
_symmetry_space_group_name_Hall '-P 2 2'
_cell_length_a 2.827
_cell_length_b 4.870
_cell_length_c 5.327
_cell_angle_alpha 90.00
_cell_angle_beta 90.00
_cell_angle_gamma 90.00
loop_
_atom_site_label
_atom_site_fract_x
_atom_site_fract_y
_atom_site_fract_z
Sr1 0.000 0.000 0.000
Re1 0.000 0.500 0.500
Re2 0.500 0.000 0.500
Pt1 0.500 0.500 0.000
```

Computed properties:
As for the energy of formation: 264 kJ/mol of formula units. The energy above the lowest structure with this stoichiometry is 0.441 eV per atom. The total magnetization comes out at 0.00 μB per formula unit.

Entry 2:
An optimized crystal structure of TbPmTe3, computed with PBE.

```
data_TbPmTe3
_chemical_formula_sum 'Tb4 Pm4 Te12'
_symmetry_space_group_name_H-M 'P n m a'
_symmetry_Int_Tables_number 62
_symmetry_space_group_name_Hall '-P 2ac 2n'
_cell_length_a 8.224
_cell_length_b 11.205
_cell_length_c 7.400
_cell_angle_alpha 90.00
_cell_angle_beta 90.00
_cell_angle_gamma 90.00
loop_
_atom_site_label
_atom_site_fract_x
_atom_site_fract_y
_atom_site_fract_z
Tb1 0.000 0.000 0.000
Pm1 0.120 0.250 0.448
Te1 0.051 0.750 0.164
Te2 0.176 0.578 0.661
```

Computed properties:
The energy above the lowest structure with this stoichiometry is 0.026 eV per atom. The total magnetization comes out at 0.00 μB per formula unit. The formation energy (no corrections) is -1391 meV per atom.

Entry 3:
An optimized crystal structure of Ag14BiAu, computed with PBE.

```
data_Ag14BiAu
_chemical_formula_sum 'Ag28 Bi2 Au2'
_symmetry_space_group_name_H-M 'A m m 2'
_symmetry_Int_Tables_number 38
_symmetry_space_group_name_Hall 'A 2 -2'
_cell_length_a 9.679
_cell_length_b 6.104
_cell_length_c 10.166
_cell_angle_alpha 90.00
_cell_angle_beta 90.00
_cell_angle_gamma 90.00
loop_
_atom_site_label
_atom_site_fract_x
_atom_site_fract_y
_atom_site_fract_z
Ag1 0.000 0.000 0.000
Ag2 0.000 0.000 0.499
Ag3 0.000 0.246 0.749
Ag4 0.241 0.000 0.170
Ag5 0.242 0.244 0.923
Ag6 0.250 0.000 0.671
Ag7 0.500 0.247 0.090
Bi1 0.500 0.000 0.341
Au1 0.500 0.000 0.840
```

Computed properties:
As for the energy of formation: 71 kJ/mol of formula units. The total magnetization comes out at 0.00 μB per formula unit.

Entry 4:
An optimized crystal structure of CsPrTa2O7, computed with PBE.

```
data_CsPrTa2O7
_chemical_formula_sum 'Cs1 Pr1 Ta2 O7'
_symmetry_space_group_name_H-M 'P 4/m m m'
_symmetry_Int_Tables_number 123
_symmetry_space_group_name_Hall '-P 4 2'
_cell_length_a 3.925
_cell_length_b 3.925
_cell_length_c 11.536
_cell_angle_alpha 90.00
_cell_angle_beta 90.00
_cell_angle_gamma 90.00
loop_
_atom_site_label
_atom_site_fract_x
_atom_site_fract_y
_atom_site_fract_z
Cs1 0.000 0.000 0.000
Pr1 0.000 0.000 0.500
Ta1 0.500 0.500 0.305
O1 0.000 0.500 0.342
O2 0.500 0.500 0.148
O3 0.500 0.500 0.500
```

Computed properties:
The total magnetization comes out at 0.00 μB per formula unit. The formation energy (no corrections) is -2907 meV per atom.

Entry 5:
An optimized crystal structure of YHfN2, computed with PBE.

```
data_YHfN2
_chemical_formula_sum 'Y4 Hf4 N8'
_symmetry_space_group_name_H-M 'F m -3 m'
_symmetry_Int_Tables_number 225
_symmetry_space_group_name_Hall '-F 4 2 3'
_cell_length_a 5.808
_cell_length_b 5.808
_cell_length_c 5.808
_cell_angle_alpha 90.00
_cell_angle_beta 90.00
_cell_angle_gamma 90.00
loop_
_atom_site_label
_atom_site_fract_x
_atom_site_fract_y
_atom_site_fract_z
Y1 0.000 0.000 0.000
Hf1 0.000 0.000 0.500
N1 0.250 0.250 0.250
```

Computed properties:
The total magnetization comes out at 0.00 μB per formula unit. The formation energy (no corrections) is -644 meV per atom.

Entry 6:
An optimized crystal structure of Y2Zn2InNi5, computed with PBE.

```
data_Y2Zn2InNi5
_chemical_formula_sum 'Y4 Zn4 In2 Ni10'
_symmetry_space_group_name_H-M 'P 4/m b m'
_symmetry_Int_Tables_number 127
_symmetry_space_group_name_Hall '-P 4 2ab'
_cell_length_a 9.362
_cell_length_b 9.362
_cell_length_c 3.641
_cell_angle_alpha 90.00
_cell_angle_beta 90.00
_cell_angle_gamma 90.00
loop_
_atom_site_label
_atom_site_fract_x
_atom_site_fract_y
_atom_site_fract_z
Y1 0.180 0.320 0.000
Zn1 0.115 0.615 0.000
In1 0.000 0.000 0.000
Ni1 0.000 0.500 0.500
Ni2 0.063 0.786 0.500
```

Computed properties:
As for the energy of formation: -277 kJ/mol of formula units. The total magnetization comes out at 0.00 μB per formula unit.

Entry 7:
An optimized crystal structure of MgCd2RuPt, computed with PBE.

```
data_MgCd2RuPt
_chemical_formula_sum 'Mg1 Cd2 Ru1 Pt1'
_symmetry_space_group_name_H-M 'P 4/m m m'
_symmetry_Int_Tables_number 123
_symmetry_space_group_name_Hall '-P 4 2'
_cell_length_a 5.087
_cell_length_b 5.087
_cell_length_c 4.805
_cell_angle_alpha 90.00
_cell_angle_beta 90.00
_cell_angle_gamma 90.00
loop_
_atom_site_label
_atom_site_fract_x
_atom_site_fract_y
_atom_site_fract_z
Mg1 0.000 0.000 0.000
Cd1 0.000 0.500 0.500
Ru1 0.500 0.500 0.000
Pt1 0.000 0.000 0.500
```

Computed properties:
As for the energy of formation: 344 kJ/mol of formula units. The energy above the lowest structure with this stoichiometry is 0.039 eV per atom. The total magnetization comes out at 1.80 μB per formula unit.

Entry 8:
An optimized crystal structure of NpTeS4, computed with PBE.

```
data_NpTeS4
_chemical_formula_sum 'Np2 Te2 S8'
_symmetry_space_group_name_H-M 'C 1 2/m 1'
_symmetry_Int_Tables_number 12
_symmetry_space_group_name_Hall '-C 2y'
_cell_length_a 14.676
_cell_length_b 3.958
_cell_length_c 6.850
_cell_angle_alpha 90.00
_cell_angle_beta 117.27
_cell_angle_gamma 90.00
loop_
_atom_site_label
_atom_site_fract_x
_atom_site_fract_y
_atom_site_fract_z
Np1 0.000 0.000 0.000
Te1 0.000 0.500 0.500
S1 0.108 0.500 0.937
S2 0.110 0.000 0.442
```

Computed properties:
The total magnetization comes out at 3.00 μB per formula unit. The formation energy (no corrections) is -556 meV per atom.

Entry 9:
An optimized crystal structure of Pm3Al2Ir7, computed with PBE.

```
data_Pm3Al2Ir7
_chemical_formula_sum 'Pm9 Al6 Ir21'
_symmetry_space_group_name_H-M 'R -3 m'
_symmetry_Int_Tables_number 166
_symmetry_space_group_name_Hall '-R 3 2"'
_cell_length_a 5.5245
_cell_length_b 5.5245
_cell_length_c 24.6369
_cell_angle_alpha 90.00
_cell_angle_beta 90.00
_cell_angle_gamma 120.00
loop_
_atom_site_label
_atom_site_fract_x
_atom_site_fract_y
_atom_site_fract_z
Pm1 0.0000 0.0000 0.0000
Pm2 0.0000 0.0000 0.1410
Al1 0.0000 0.0000 0.3357
Ir1 0.0000 0.0000 0.5000
Ir2 0.0055 0.5027 0.9190
```

Computed properties:
As for the energy of formation: -919 kJ/mol of formula units. The total magnetization comes out at 0.00 μB per formula unit.

Entry 10:
An optimized crystal structure of Sm2TlTcO8, computed with PBE.

```
data_Sm2TlTcO8
_chemical_formula_sum 'Sm2 Tl1 Tc1 O8'
_symmetry_space_group_name_H-M 'P -1'
_symmetry_Int_Tables_number 2
_symmetry_space_group_name_Hall '-P 1'
_cell_length_a 4.860
_cell_length_b 4.867
_cell_length_c 7.336
_cell_angle_alpha 92.07
_cell_angle_beta 92.06
_cell_angle_gamma 93.98
loop_
_atom_site_label
_atom_site_fract_x
_atom_site_fract_y
_atom_site_fract_z
Sm1 0.048 0.047 0.260
Tl1 0.500 0.500 0.000
Tc1 0.500 0.500 0.500
O1 0.198 0.198 0.981
O2 0.220 0.222 0.541
O3 0.274 0.639 0.310
O4 0.361 0.727 0.689
```

Computed properties:
The total magnetization comes out at 0.00 μB per formula unit. The formation energy (no corrections) is -1993 meV per atom.

Entry 11:
An optimized crystal structure of LiYCd4, computed with PBE.

```
data_LiYCd4
_chemical_formula_sum 'Li4 Y4 Cd16'
_symmetry_space_group_name_H-M 'F -4 3 m'
_symmetry_Int_Tables_number 216
_symmetry_space_group_name_Hall 'F -4 2 3'
_cell_length_a 8.260
_cell_length_b 8.260
_cell_length_c 8.260
_cell_angle_alpha 90.00
_cell_angle_beta 90.00
_cell_angle_gamma 90.00
loop_
_atom_site_label
_atom_site_fract_x
_atom_site_fract_y
_atom_site_fract_z
Li1 0.000 0.000 0.000
Y1 0.250 0.250 0.750
Cd1 0.125 0.125 0.375
```

Computed properties:
As for the energy of formation: -99 kJ/mol of formula units. The energy above the lowest structure with this stoichiometry is 0.073 eV per atom. The total magnetization comes out at 0.00 μB per formula unit.

Entry 12:
An optimized crystal structure of TaNb3Au, computed with PBE.

```
data_TaNb3Au
_chemical_formula_sum 'Ta8 Nb24 Au8'
_symmetry_space_group_name_H-M 'C 1 2/c 1'
_symmetry_Int_Tables_number 15
_symmetry_space_group_name_Hall '-C 2yc'
_cell_length_a 12.739
_cell_length_b 12.500
_cell_length_c 4.857
_cell_angle_alpha 90.00
_cell_angle_beta 99.83
_cell_angle_gamma 90.00
loop_
_atom_site_label
_atom_site_fract_x
_atom_site_fract_y
_atom_site_fract_z
Ta1 0.000 0.054 0.250
Ta2 0.000 0.208 0.750
Nb1 0.064 0.417 0.062
Nb2 0.133 0.216 0.274
Nb3 0.183 0.072 0.794
Au1 0.173 0.382 0.649
```

Computed properties:
As for the energy of formation: 100 kJ/mol of formula units. The energy above the lowest structure with this stoichiometry is 0.000 eV per atom. The total magnetization comes out at 0.00 μB per formula unit.

Entry 13:
An optimized crystal structure of Th8Os3CS3, computed with PBE.

```
data_Th8Os3CS3
_chemical_formula_sum 'Th24 Os9 C3 S9'
_symmetry_space_group_name_H-M 'R -3 m'
_symmetry_Int_Tables_number 166
_symmetry_space_group_name_Hall '-R 3 2"'
_cell_length_a 8.0693
_cell_length_b 8.0693
_cell_length_c 20.9119
_cell_angle_alpha 90.00
_cell_angle_beta 90.00
_cell_angle_gamma 120.00
loop_
_atom_site_label
_atom_site_fract_x
_atom_site_fract_y
_atom_site_fract_z
Th1 0.0000 0.0000 0.2442
Th2 0.0303 0.5151 0.7488
Os1 0.0000 0.5000 0.5000
C1 0.0000 0.0000 0.0000
S1 0.0000 0.5000 0.0000
```

Computed properties:
The total magnetization comes out at 0.00 μB per formula unit. The formation energy (no corrections) is -820 meV per atom.

Entry 14:
An optimized crystal structure of Y2Zn5Cu4, computed with PBE.

```
data_Y2Zn5Cu4
_chemical_formula_sum 'Y4 Zn10 Cu8'
_symmetry_space_group_name_H-M 'I m m m'
_symmetry_Int_Tables_number 71
_symmetry_space_group_name_Hall '-I 2 2'
_cell_length_a 5.168
_cell_length_b 8.328
_cell_length_c 8.602
_cell_angle_alpha 90.00
_cell_angle_beta 90.00
_cell_angle_gamma 90.00
loop_
_atom_site_label
_atom_site_fract_x
_atom_site_fract_y
_atom_site_fract_z
Y1 0.000 0.000 0.227
Zn1 0.000 0.500 0.500
Zn2 0.248 0.292 0.000
Cu1 0.000 0.336 0.255
```

Computed properties:
As for the energy of formation: -255 kJ/mol of formula units. The total magnetization comes out at 0.00 μB per formula unit.

Entry 15:
An optimized crystal structure of SrGaSnCl2, computed with PBE.

```
data_SrGaSnCl2
_chemical_formula_sum 'Sr1 Ga1 Sn1 Cl2'
_symmetry_space_group_name_H-M 'P 4/m m m'
_symmetry_Int_Tables_number 123
_symmetry_space_group_name_Hall '-P 4 2'
_cell_length_a 5.223
_cell_length_b 5.223
_cell_length_c 5.486
_cell_angle_alpha 90.00
_cell_angle_beta 90.00
_cell_angle_gamma 90.00
loop_
_atom_site_label
_atom_site_fract_x
_atom_site_fract_y
_atom_site_fract_z
Sr1 0.000 0.000 0.000
Ga1 0.500 0.500 0.500
Sn1 0.500 0.500 0.000
Cl1 0.000 0.500 0.500
```

Computed properties:
The total magnetization comes out at 0.97 μB per formula unit. The formation energy (no corrections) is -700 meV per atom.

Entry 16:
An optimized crystal structure of HoLu2Sn, computed with PBE.

```
data_HoLu2Sn
_chemical_formula_sum 'Ho1 Lu2 Sn1'
_symmetry_space_group_name_H-M 'P 4/m m m'
_symmetry_Int_Tables_number 123
_symmetry_space_group_name_Hall '-P 4 2'
_cell_length_a 3.600
_cell_length_b 3.600
_cell_length_c 8.697
_cell_angle_alpha 90.00
_cell_angle_beta 90.00
_cell_angle_gamma 90.00
loop_
_atom_site_label
_atom_site_fract_x
_atom_site_fract_y
_atom_site_fract_z
Ho1 0.000 0.000 0.000
Lu1 0.500 0.500 0.273
Sn1 0.000 0.000 0.500
```

Computed properties:
As for the energy of formation: -111 kJ/mol of formula units. The energy above the lowest structure with this stoichiometry is 0.096 eV per atom. The total magnetization comes out at 0.00 μB per formula unit.

Entry 17:
An optimized crystal structure of CrTc2GeH, computed with PBE.

```
data_CrTc2GeH
_chemical_formula_sum 'Cr1 Tc2 Ge1 H1'
_symmetry_space_group_name_H-M 'P 4/m m m'
_symmetry_Int_Tables_number 123
_symmetry_space_group_name_Hall '-P 4 2'
_cell_length_a 4.143
_cell_length_b 4.143
_cell_length_c 3.405
_cell_angle_alpha 90.00
_cell_angle_beta 90.00
_cell_angle_gamma 90.00
loop_
_atom_site_label
_atom_site_fract_x
_atom_site_fract_y
_atom_site_fract_z
Cr1 0.000 0.000 0.000
Tc1 0.000 0.500 0.500
Ge1 0.500 0.500 0.000
H1 0.000 0.000 0.500
```

Computed properties:
The total magnetization comes out at 1.57 μB per formula unit. The total energy comes out at -7.592 eV per atom.

Entry 18:
An optimized crystal structure of Pr8HOs3I3, computed with PBE.

```
data_Pr8HOs3I3
_chemical_formula_sum 'Pr24 H3 Os9 I9'
_symmetry_space_group_name_H-M 'R -3 m'
_symmetry_Int_Tables_number 166
_symmetry_space_group_name_Hall '-R 3 2"'
_cell_length_a 8.3148
_cell_length_b 8.3148
_cell_length_c 24.6256
_cell_angle_alpha 90.00
_cell_angle_beta 90.00
_cell_angle_gamma 120.00
loop_
_atom_site_label
_atom_site_fract_x
_atom_site_fract_y
_atom_site_fract_z
Pr1 0.0000 0.0000 0.2303
Pr2 0.0048 0.5024 0.7723
H1 0.0000 0.0000 0.5000
Os1 0.0000 0.5000 0.5000
I1 0.0000 0.5000 0.0000
```

Computed properties:
The total magnetization comes out at 0.90 μB per formula unit. The total energy comes out at -5.735 eV per atom.

Entry 19:
An optimized crystal structure of BaY2Au, computed with PBE.

```
data_BaY2Au
_chemical_formula_sum 'Ba2 Y4 Au2'
_symmetry_space_group_name_H-M 'I m m m'
_symmetry_Int_Tables_number 71
_symmetry_space_group_name_Hall '-I 2 2'
_cell_length_a 3.705
_cell_length_b 5.875
_cell_length_c 12.280
_cell_angle_alpha 90.00
_cell_angle_beta 90.00
_cell_angle_gamma 90.00
loop_
_atom_site_label
_atom_site_fract_x
_atom_site_fract_y
_atom_site_fract_z
Ba1 0.000 0.000 0.000
Y1 0.000 0.500 0.196
Au1 0.000 0.000 0.500
```

Computed properties:
As for the energy of formation: -110 kJ/mol of formula units. The energy above the lowest structure with this stoichiometry is 0.016 eV per atom. The total magnetization comes out at 0.00 μB per formula unit.

Entry 20:
An optimized crystal structure of Nd3YTm, computed with PBE.

```
data_Nd3YTm
_chemical_formula_sum 'Nd18 Y6 Tm6'
_symmetry_space_group_name_H-M 'R -3'
_symmetry_Int_Tables_number 148
_symmetry_space_group_name_Hall '-R 3'
_cell_length_a 6.8244
_cell_length_b 6.8244
_cell_length_c 26.6995
_cell_angle_alpha 90.00
_cell_angle_beta 90.00
_cell_angle_gamma 120.00
loop_
_atom_site_label
_atom_site_fract_x
_atom_site_fract_y
_atom_site_fract_z
Nd1 0.0034 0.5193 0.2406
Y1 0.0000 0.0000 0.3148
Tm1 0.0000 0.0000 0.1960
```

Computed properties:
As for the energy of formation: 129 kJ/mol of formula units. The energy above the lowest structure with this stoichiometry is 0.202 eV per atom. The total magnetization comes out at 0.02 μB per formula unit.

Respective calculated density values: 14831; 6689; 10595; 6988; 10017; 7460; 7281; 4628; 14034; 7023; 6429; 11448; 10712; 6809; 3849; 9334; 9138; 7025; 6364; 6389 kg/m³.